This record from Alexandria via LeMat-Bulk describes a geometry-optimized TcBi3Br structure. The functional is PBEsol.

Values from the calculation:
electronic total energy = -3.6020 eV/atom
SG = No. 221

Structure (POSCAR):
```
TcBi3Br
1.0
5.5145 0.0000 0.0000
0.0000 5.5145 0.0000
0.0000 0.0000 5.5145
Tc Bi Br
1 3 1
direct
0.0000 0.0000 0.0000 Tc
0.0000 0.5000 0.5000 Bi
0.5000 0.0000 0.5000 Bi
0.5000 0.5000 0.0000 Bi
0.5000 0.5000 0.5000 Br
```

***

This record from Alexandria via LeMat-Bulk describes a geometry-optimized LiAsPSe2 structure. The functional is PBEsol.

Values from the calculation:
electronic total energy = -3.9248 eV/atom
SG = No. 123

Structure (POSCAR):
```
LiAsPSe2
1.0
4.8908 0.0000 0.0000
0.0000 4.8908 0.0000
0.0000 0.0000 4.6963
Li As P Se
1 1 1 2
direct
0.0000 0.0000 0.0000 Li
0.5000 0.5000 0.0000 As
0.5000 0.5000 0.5000 P
0.0000 0.5000 0.5000 Se
0.5000 0.0000 0.5000 Se
```

***

This record from Alexandria via LeMat-Bulk describes a geometry-optimized Mn2CrSi structure. The functional is PBEsol.

Values from the calculation:
electronic total energy = -9.0382 eV/atom
SG = No. 99

Structure (POSCAR):
```
Mn2CrSi
1.0
2.7728 0.0000 0.0000
0.0000 2.7728 0.0000
0.0000 0.0000 5.5906
Mn Cr Si
2 1 1
direct
0.0000 0.0000 0.0000 Mn
0.5000 0.5000 0.2629 Mn
0.5000 0.5000 0.7660 Cr
0.0000 0.0000 0.5026 Si
```

***

This record from Alexandria via LeMat-Bulk describes a geometry-optimized Ti2Be2Al structure. The functional is PBEsol.

Values from the calculation:
E_form = -6.10 kcal/mol of atoms
SG = No. 127

Structure (POSCAR):
```
Ti2Be2Al
1.0
6.4700 0.0000 0.0000
0.0000 6.4700 0.0000
0.0000 0.0000 3.0640
Ti Be Al
4 4 2
direct
0.1773 0.3227 0.0000 Ti
0.3227 0.8227 0.0000 Ti
0.6773 0.1773 0.0000 Ti
0.8227 0.6773 0.0000 Ti
0.1156 0.6156 0.5000 Be
0.3844 0.1156 0.5000 Be
0.6156 0.8844 0.5000 Be
0.8844 0.3844 0.5000 Be
0.0000 0.0000 0.5000 Al
0.5000 0.5000 0.5000 Al
```

***

This record from Alexandria via LeMat-Bulk describes a geometry-optimized CrSiPt2 structure. The functional is PBEsol.

Values from the calculation:
electronic total energy = -7.7737 eV/atom
SG = No. 8

Structure (POSCAR):
```
CrSiPt2
1.0
4.4543 -1.6935 0.0000
4.4543 1.6935 0.0000
-1.7971 0.0000 3.6997
Cr Si Pt
1 1 2
direct
0.0000 0.0000 0.0000 Cr
0.2681 0.2681 0.7264 Si
0.5526 0.5526 0.5570 Pt
0.7781 0.7781 0.2691 Pt
```

***

This record from Alexandria via LeMat-Bulk describes a geometry-optimized RbZrPCl2 structure. The functional is PBEsol.

Values from the calculation:
electronic total energy = -5.2050 eV/atom
SG = No. 123

Structure (POSCAR):
```
RbZrPCl2
1.0
5.1282 0.0000 0.0000
0.0000 5.1282 0.0000
0.0000 0.0000 5.0044
Rb Zr P Cl
1 1 1 2
direct
0.0000 0.0000 0.0000 Rb
0.5000 0.5000 0.5000 Zr
0.5000 0.5000 0.0000 P
0.0000 0.5000 0.5000 Cl
0.5000 0.0000 0.5000 Cl
```

***

This record from Alexandria via LeMat-Bulk describes a geometry-optimized Li2CuCO4 structure. The functional is PBEsol.

Values from the calculation:
electronic total energy = -6.3314 eV/atom
SG = No. 14

Structure (POSCAR):
```
Li2CuCO4
1.0
7.2473 0.0000 0.0000
0.0000 4.9821 0.0000
-2.3952 0.0000 10.2009
Li Cu C O
8 4 4 16
direct
0.1185 0.1666 0.2985 Li
0.1185 0.3334 0.7985 Li
0.2039 0.1748 0.5791 Li
0.2039 0.3252 0.0791 Li
0.7961 0.6748 0.9209 Li
0.7961 0.8252 0.4209 Li
0.8815 0.6666 0.2015 Li
0.8815 0.8334 0.7015 Li
0.4505 0.6553 0.6916 Cu
0.4505 0.8447 0.1916 Cu
0.5495 0.1553 0.8084 Cu
0.5495 0.3447 0.3084 Cu
0.1638 0.6785 0.4475 C
0.1638 0.8215 0.9475 C
0.8362 0.1785 0.0525 C
0.8362 0.3215 0.5525 C
0.0466 0.6785 0.8618 O
0.0466 0.8215 0.3618 O
0.1736 0.0753 0.9382 O
0.1736 0.4247 0.4382 O
0.2714 0.6898 0.0451 O
0.2714 0.8102 0.5451 O
0.3438 0.1534 0.2327 O
0.3438 0.3466 0.7327 O
0.6562 0.6534 0.2673 O
0.6562 0.8466 0.7673 O
0.7286 0.1898 0.4549 O
0.7286 0.3102 0.9549 O
0.8264 0.5753 0.5618 O
0.8264 0.9247 0.0618 O
0.9534 0.1785 0.6382 O
0.9534 0.3215 0.1382 O
```

***

This record from Alexandria via LeMat-Bulk describes a geometry-optimized K2InAg2 structure. The functional is PBEsol.

Values from the calculation:
E_form = 1.57 kcal/mol of atoms
SG = No. 127

Structure (POSCAR):
```
K2InAg2
1.0
7.3096 0.0000 0.0000
0.0000 7.3096 0.0000
0.0000 0.0000 5.3716
K In Ag
4 2 4
direct
0.1752 0.3248 0.0000 K
0.3248 0.8248 0.0000 K
0.6752 0.1752 0.0000 K
0.8248 0.6752 0.0000 K
0.0000 0.0000 0.5000 In
0.5000 0.5000 0.5000 In
0.1337 0.6337 0.5000 Ag
0.3663 0.1337 0.5000 Ag
0.6337 0.8663 0.5000 Ag
0.8663 0.3663 0.5000 Ag
```